A plane-wave DFT calculation with PBE was carried out for crystalline Cs2SnPb at its relaxed geometry.

Cell: 6.4156 6.4156 6.4156 Å, 60.00 60.00 60.00°
Fractional positions:
Pb 0.5000 0.5000 0.5000
Cs 0.2500 0.2500 0.2500
Cs 0.7500 0.7500 0.7500
Sn 0.0000 0.0000 0.0000

Calculated values
M_tot ... 0.00 μB per formula unit
Calculated volume ... 187 Å³ per cell
Total energy ... -2.150 eV/atom